Entry 1:
Material: Tl2TcPt
Method: DFT, PBE-GGA
State: relaxed

Formation energy: 0.45 eV per atom
Polymorph energy (0 for the lowest one): 114 meV/atom
Mass density: 13.76 g cm⁻³
E: -19.35 eV per cell

Unit cell a=3.7798 b=4.3377 c=5.4970 alpha=90.00 beta=110.02 gamma=90.00
Space group Pm (No. 6)
One atom of each set of equivalent atoms:
Tl 0.0000 0.0000 0.0000 [1 per cell]
Tl 0.3089 0.5000 0.6199 [1 per cell]
Tc 0.7225 0.0000 0.4455 [1 per cell]
Pt 0.5936 0.5000 0.1869 [1 per cell]


Entry 2:
Material: TlTc2PtW
Method: DFT, PBE-GGA
State: relaxed

Formation energy: 2.95 eV per atom
Mass density: 11.33 g cm⁻³
E: -27.33 eV per cell

Unit cell a=4.8217 b=4.8217 c=4.9113 alpha=90.00 beta=90.00 gamma=90.00
Space group P4/mmm (No. 123)
One atom of each set of equivalent atoms:
Tl 0.0000 0.0000 0.0000 [1 per cell]
Tc 0.0000 0.5000 0.0000 [2 per cell]
Pt 0.5000 0.5000 0.5000 [1 per cell]
W 0.0000 0.0000 0.5000 [1 per cell]


Entry 3:
Material: Tl2ZnTcPt
Method: DFT, PBE-GGA
State: relaxed

Formation energy: 1.10 eV per atom
Mass density: 10.24 g cm⁻³
E: -16.92 eV per cell

Unit cell a=5.1293 b=5.1293 c=4.7275 alpha=90.00 beta=90.00 gamma=90.00
Space group P4/mmm (No. 123)
One atom of each set of equivalent atoms:
Tl 0.0000 0.5000 0.0000 [2 per cell]
Zn 0.0000 0.0000 0.0000 [1 per cell]
Tc 0.5000 0.5000 0.5000 [1 per cell]
Pt 0.0000 0.0000 0.5000 [1 per cell]


Entry 4:
Material: Tm6Tc2Pt
Method: DFT, PBE-GGA
State: relaxed

Formation energy: -0.37 eV per atom
Mass density: 10.84 g cm⁻³
E: -227.66 eV per cell

Unit cell a=9.3439 b=9.4538 c=9.7464 alpha=90.00 beta=90.00 gamma=90.00
Space group Immm (No. 71)
One atom of each set of equivalent atoms:
Tm 0.0000 0.1923 0.1647 [8 per cell]
Tm 0.1758 0.2430 0.5000 [8 per cell]
Tm 0.1943 0.5000 0.2367 [8 per cell]
Tc 0.0000 0.0000 0.3823 [4 per cell]
Tc 0.1717 0.0000 0.0000 [4 per cell]
Pt 0.0000 0.5000 0.0000 [2 per cell]
Pt 0.0000 0.5000 0.5000 [2 per cell]


Entry 5:
Material: Tm4TcPt
Method: DFT, PBE-GGA
State: relaxed

Formation energy: -0.57 eV per atom
Mass density: 11.24 g cm⁻³
E: -150.93 eV per cell

Unit cell a=7.3914 b=4.2748 c=18.1180 alpha=90.00 beta=90.00 gamma=90.00
Space group Pnma (No. 62)
One atom of each set of equivalent atoms:
Tm 0.0081 0.2500 0.0729 [4 per cell]
Tm 0.0714 0.2500 0.7805 [4 per cell]
Tm 0.0918 0.2500 0.3530 [4 per cell]
Tm 0.1488 0.2500 0.5429 [4 per cell]
Tc 0.2505 0.2500 0.9383 [4 per cell]
Pt 0.2227 0.2500 0.2045 [4 per cell]


Entry 6:
Material: Tm2TcPt
Method: DFT, PBE-GGA
State: relaxed

Formation energy: -0.66 eV per atom
Mass density: 13.18 g cm⁻³
E: -27.98 eV per cell

Unit cell a=3.4576 b=3.4576 c=6.6503 alpha=90.00 beta=90.00 gamma=90.00
Space group P4/mmm (No. 123)
One atom of each set of equivalent atoms:
Tm 0.0000 0.0000 0.2467 [2 per cell]
Tc 0.5000 0.5000 0.0000 [1 per cell]
Pt 0.5000 0.5000 0.5000 [1 per cell]


Entry 7:
Material: UTc2Pt
Method: DFT, PBE-GGA
State: relaxed

Formation energy: -0.38 eV per atom
Mass density: 15.71 g cm⁻³
E: -39.60 eV per cell

Unit cell a=4.1549 b=4.1549 c=3.8521 alpha=90.00 beta=90.00 gamma=90.00
Space group P4/mmm (No. 123)
One atom of each set of equivalent atoms:
U 0.0000 0.0000 0.0000 [1 per cell]
Tc 0.0000 0.5000 0.5000 [2 per cell]
Pt 0.5000 0.5000 0.0000 [1 per cell]


Entry 8:
Material: UTcPt
Method: DFT, PBE-GGA
State: relaxed

Formation energy: -0.34 eV per atom
Mass density: 16.09 g cm⁻³
E: -57.40 eV per cell

Unit cell a=4.9036 b=4.7941 c=5.0168 alpha=90.00 beta=111.63 gamma=90.00
Space group P2_1/m (No. 11)
One atom of each set of equivalent atoms:
U 0.1740 0.2500 0.1959 [2 per cell]
Tc 0.1553 0.7500 0.5745 [2 per cell]
Pt 0.4889 0.2500 0.8217 [2 per cell]


Entry 9:
Material: VTcPt
Method: DFT, PBE-GGA
State: relaxed

Formation energy: -0.12 eV per atom
Polymorph energy (0 for the lowest one): 243 meV/atom
Mass density: 12.37 g cm⁻³
E: -103.59 eV per cell

Unit cell a=5.1334 b=6.4321 c=6.6198 alpha=118.30 beta=99.54 gamma=97.02
Space group P-1 (No. 2)
One atom of each set of equivalent atoms:
V 0.0711 0.4619 0.3028 [2 per cell]
V 0.1694 0.1467 0.4243 [2 per cell]
Tc 0.3416 0.8781 0.5867 [2 per cell]
Tc 0.4602 0.5546 0.7182 [2 per cell]
Pt 0.1215 0.2992 0.8663 [2 per cell]
Pt 0.2477 0.9470 0.0026 [2 per cell]


Entry 10:
Material: VTc2Pt
Method: DFT, PBE-GGA
State: relaxed

Formation energy: -0.27 eV per atom
Polymorph energy (0 for the lowest one): 0 meV/atom
Mass density: 12.72 g cm⁻³
E: -36.98 eV per cell

Unit cell a=3.8199 b=3.8199 c=3.9538 alpha=90.00 beta=90.00 gamma=90.00
Space group P4/mmm (No. 123)
One atom of each set of equivalent atoms:
V 0.0000 0.0000 0.0000 [1 per cell]
Tc 0.0000 0.5000 0.5000 [2 per cell]
Pt 0.5000 0.5000 0.0000 [1 per cell]


Entry 11:
Material: VTc2Pt
Method: DFT, PBE-GGA
State: relaxed

Formation energy: 0.08 eV per atom
Polymorph energy (0 for the lowest one): 348 meV/atom
Mass density: 12.46 g cm⁻³
E: -142.34 eV per cell

Unit cell a=6.1761 b=6.1761 c=6.1761 alpha=90.00 beta=90.00 gamma=90.00
Space group Fm-3m (No. 225)
One atom of each set of equivalent atoms:
V 0.0000 0.0000 0.0000 [4 per cell]
Tc 0.2500 0.2500 0.2500 [8 per cell]
Pt 0.0000 0.0000 0.5000 [4 per cell]


Entry 12:
Material: V3TcPt
Method: DFT, PBE-GGA
State: relaxed

Formation energy: 0.99 eV per atom
Polymorph energy (0 for the lowest one): 0 meV/atom
Mass density: 8.39 g cm⁻³
E: -38.79 eV per cell

Unit cell a=4.4526 b=4.4526 c=4.4526 alpha=90.00 beta=90.00 gamma=90.00
Space group Pm-3m (No. 221)
One atom of each set of equivalent atoms:
V 0.0000 0.0000 0.5000 [3 per cell]
Tc 0.0000 0.0000 0.0000 [1 per cell]
Pt 0.5000 0.5000 0.5000 [1 per cell]


Entry 13:
Material: VTcPt
Method: DFT, PBE-GGA
State: relaxed

Formation energy: -0.07 eV per atom
Polymorph energy (0 for the lowest one): 295 meV/atom
Mass density: 12.82 g cm⁻³
E: -25.74 eV per cell

Unit cell a=4.4370 b=4.4370 c=2.6141 alpha=90.00 beta=90.00 gamma=120.00
Space group P3m1 (No. 156)
One atom of each set of equivalent atoms:
V 0.0000 0.0000 0.0000 [1 per cell]
Tc 0.6667 0.3333 0.5028 [1 per cell]
Pt 0.3333 0.6667 0.5011 [1 per cell]


Entry 14:
Material: VTcPt
Method: DFT, PBE-GGA
State: relaxed

Formation energy: -0.30 eV per atom
Polymorph energy (0 for the lowest one): 66 meV/atom
Mass density: 13.13 g cm⁻³
E: -105.72 eV per cell

Unit cell a=4.2624 b=8.4601 c=4.8263 alpha=90.00 beta=90.00 gamma=90.00
Space group Amm2 (No. 38)
One atom of each set of equivalent atoms:
V 0.0000 0.1726 0.0000 [4 per cell]
Tc 0.5000 0.1746 0.6702 [4 per cell]
Pt 0.0000 0.0000 0.5024 [2 per cell]
Pt 0.5000 0.0000 0.1594 [2 per cell]


Entry 15:
Material: VTcPt
Method: DFT, PBE-GGA
State: relaxed

Formation energy: -0.27 eV per atom
Polymorph energy (0 for the lowest one): 99 meV/atom
Mass density: 13.12 g cm⁻³
E: -105.32 eV per cell

Unit cell a=3.9928 b=10.7743 c=4.0470 alpha=90.00 beta=90.00 gamma=90.00
Space group Cmmm (No. 65)
One atom of each set of equivalent atoms:
V 0.0000 0.0000 0.0000 [2 per cell]
V 0.0000 0.5000 0.5000 [2 per cell]
Tc 0.0000 0.1506 0.5000 [4 per cell]
Pt 0.0000 0.3388 0.0000 [4 per cell]


Entry 16:
Material: VTcPt
Method: DFT, PBE-GGA
State: relaxed

Formation energy: -0.31 eV per atom
Polymorph energy (0 for the lowest one): 53 meV/atom
Mass density: 13.08 g cm⁻³
E: -52.94 eV per cell

Unit cell a=4.3160 b=4.3160 c=5.4133 alpha=90.00 beta=90.00 gamma=120.00
Space group P3m1 (No. 156)
One atom of each set of equivalent atoms:
V 0.0000 0.0000 0.0000 [1 per cell]
V 0.3333 0.6667 0.6007 [1 per cell]
Tc 0.0000 0.0000 0.5476 [1 per cell]
Tc 0.6667 0.3333 0.8192 [1 per cell]
Pt 0.3333 0.6667 0.0942 [1 per cell]
Pt 0.6667 0.3333 0.3177 [1 per cell]


Entry 17:
Material: VTc2Pt
Method: DFT, PBE-GGA
State: relaxed

Formation energy: 0.34 eV per atom
Polymorph energy (0 for the lowest one): 614 meV/atom
Mass density: 11.46 g cm⁻³
E: -138.09 eV per cell

Unit cell a=3.7515 b=3.7515 c=18.1978 alpha=90.00 beta=90.00 gamma=90.00
Space group I-42d (No. 122)
One atom of each set of equivalent atoms:
V 0.0000 0.0000 0.0000 [4 per cell]
Tc 0.2079 0.2500 0.1250 [8 per cell]
Pt 0.0000 0.0000 0.5000 [4 per cell]


Entry 18:
Material: VTcPt
Method: DFT, PBE-GGA
State: relaxed

Formation energy: -0.31 eV per atom
Polymorph energy (0 for the lowest one): 60 meV/atom
Mass density: 13.19 g cm⁻³
E: -52.89 eV per cell

Unit cell a=4.7344 b=4.7367 c=5.2093 alpha=90.60 beta=116.62 gamma=119.66
Space group P1 (No. 1)
One atom of each set of equivalent atoms:
V 0.0000 0.0000 0.0000 [1 per cell]
V 0.3269 0.8275 0.5012 [1 per cell]
Tc 0.6609 0.4980 0.5053 [1 per cell]
Tc 0.9948 0.1568 0.4981 [1 per cell]
Pt 0.3344 0.6675 0.0068 [1 per cell]
Pt 0.6630 0.3287 0.9966 [1 per cell]


Entry 19:
Material: VTc4Pt2
Method: DFT, PBE-GGA
State: relaxed

Formation energy: 1.03 eV per atom
Mass density: 11.16 g cm⁻³
E: -110.90 eV per cell

Unit cell a=4.3916 b=4.3916 c=12.8588 alpha=90.00 beta=90.00 gamma=90.00
Space group I4/mmm (No. 139)
One atom of each set of equivalent atoms:
V 0.0000 0.0000 0.0000 [2 per cell]
Tc 0.0000 0.0000 0.1778 [4 per cell]
Tc 0.0000 0.5000 0.0000 [4 per cell]
Pt 0.0000 0.0000 0.3729 [4 per cell]


Entry 20:
Material: VTcPt
Method: DFT, PBE-GGA
State: relaxed

Formation energy: 0.42 eV per atom
Polymorph energy (0 for the lowest one): 784 meV/atom
Mass density: 11.78 g cm⁻³
E: -48.55 eV per cell

Unit cell a=2.6491 b=2.6491 c=13.8194 alpha=90.00 beta=90.00 gamma=90.00
Space group I4mm (No. 107)
One atom of each set of equivalent atoms:
V 0.0000 0.0000 0.0000 [2 per cell]
Tc 0.0000 0.0000 0.8262 [2 per cell]
Pt 0.0000 0.0000 0.1814 [2 per cell]


Entry 21:
Material: VTcPt
Method: DFT, PBE-GGA
State: relaxed

Formation energy: -0.28 eV per atom
Polymorph energy (0 for the lowest one): 87 meV/atom
Mass density: 12.92 g cm⁻³
E: -52.73 eV per cell

Unit cell a=4.3441 b=4.3441 c=5.4104 alpha=90.00 beta=90.00 gamma=120.00
Space group P3m1 (No. 156)
One atom of each set of equivalent atoms:
V 0.0000 0.0000 0.0000 [1 per cell]
V 0.3333 0.6667 0.8021 [1 per cell]
Tc 0.3333 0.6667 0.2482 [1 per cell]
Tc 0.6667 0.3333 0.2270 [1 per cell]
Pt 0.0000 0.0000 0.4991 [1 per cell]
Pt 0.6667 0.3333 0.7350 [1 per cell]


Entry 22:
Material: VTcPt
Method: DFT, PBE-GGA
State: relaxed

Formation energy: -0.29 eV per atom
Polymorph energy (0 for the lowest one): 81 meV/atom
Mass density: 13.17 g cm⁻³
E: -105.54 eV per cell

Unit cell a=4.4548 b=8.2687 c=4.7099 alpha=90.00 beta=90.00 gamma=90.00
Space group Amm2 (No. 38)
One atom of each set of equivalent atoms:
V 0.0000 0.0000 0.0000 [2 per cell]
V 0.5000 0.0000 0.3523 [2 per cell]
Tc 0.5000 0.1656 0.8500 [4 per cell]
Pt 0.0000 0.1650 0.5073 [4 per cell]


Entry 23:
Material: VTcPt
Method: DFT, PBE-GGA
State: relaxed

Formation energy: -0.37 eV per atom
Polymorph energy (0 for the lowest one): 0 meV/atom
Mass density: 13.18 g cm⁻³
E: -106.51 eV per cell

Unit cell a=8.5880 b=3.8967 c=5.4322 alpha=90.00 beta=107.50 gamma=90.00
Space group Cm (No. 8)
One atom of each set of equivalent atoms:
V 0.0000 0.0000 0.0000 [2 per cell]
V 0.1844 0.5000 0.3616 [2 per cell]
Tc 0.1729 0.5000 0.8502 [2 per cell]
Tc 0.3482 0.0000 0.6926 [2 per cell]
Pt 0.0142 0.0000 0.5040 [2 per cell]
Pt 0.3370 0.0000 0.1850 [2 per cell]


Entry 24:
Material: V9Tc4Pt11
Method: DFT, PBE-GGA
State: relaxed

Formation energy: -0.44 eV per atom
Mass density: 14.33 g cm⁻³
E: -400.95 eV per cell

Unit cell a=10.8581 b=16.2928 c=3.9256 alpha=90.00 beta=90.00 gamma=90.00
Space group Cmmm (No. 65)
One atom of each set of equivalent atoms:
V 0.0000 0.0000 0.0000 [2 per cell]
V 0.1242 0.2507 0.5000 [8 per cell]
V 0.1247 0.4181 0.5000 [8 per cell]
Tc 0.1178 0.0801 0.5000 [8 per cell]
Pt 0.0000 0.1693 0.0000 [4 per cell]
Pt 0.0000 0.3352 0.0000 [4 per cell]
Pt 0.0000 0.5000 0.0000 [2 per cell]
Pt 0.2486 0.3329 0.0000 [8 per cell]
Pt 0.2486 0.5000 0.0000 [4 per cell]


| no. | calculated volume (A^3/atom) |
| --- | --- |
| 1 | 21.17 |
| 2 | 22.84 |
| 3 | 24.88 |
| 4 | 23.92 |
| 5 | 23.85 |
| 6 | 19.88 |
| 7 | 16.62 |
| 8 | 18.27 |
| 9 | 15.39 |
| 10 | 14.42 |
| 11 | 14.72 |
| 12 | 17.65 |
| 13 | 14.86 |
| 14 | 14.50 |
| 15 | 14.51 |
| 16 | 14.56 |
| 17 | 16.01 |
| 18 | 14.43 |
| 19 | 17.71 |
| 20 | 16.16 |
| 21 | 14.74 |
| 22 | 14.46 |
| 23 | 14.45 |
| 24 | 14.47 |